[1]
# PBE-GGA Rb3TbTa2O8, relaxed
# - E: -108.4 eV per cell
# - Space-group type: P-3m1 (164)
data_Rb3TbTa2O8
_chemical_formula_sum 'Rb3 Tb1 Ta2 O8'
_cell_length_a 6.288
_cell_length_b 6.288
_cell_length_c 8.072
_cell_angle_alpha 90.00
_cell_angle_beta 90.00
_cell_angle_gamma 120.00
_symmetry_space_group_name_H-M 'P 1'
_symmetry_Int_Tables_number 1
_symmetry_space_group_name_Hall 'P 1'
loop_
_atom_site_label
_atom_site_fract_x
_atom_site_fract_y
_atom_site_fract_z
Rb1 0.333 0.667 0.695
Rb2 0.667 0.333 0.305
Rb3 0.000 0.000 0.000
Tb1 0.000 0.000 0.500
Ta1 0.333 0.667 0.251
Ta2 0.667 0.333 0.749
O1 0.333 0.667 0.026
O2 0.667 0.333 0.974
O3 0.170 0.830 0.332
O4 0.830 0.170 0.668
O5 0.170 0.341 0.332
O6 0.830 0.659 0.668
O7 0.659 0.830 0.332
O8 0.341 0.170 0.668

---

[2]
# PBE-GGA Rb3TbTa2O9, relaxed
# - E: -111.9 eV per cell
# - Space-group type: P-3m1 (164)
data_Rb3TbTa2O9
_chemical_formula_sum 'Rb3 Tb1 Ta2 O9'
_cell_length_a 5.993
_cell_length_b 5.993
_cell_length_c 7.361
_cell_angle_alpha 90.00
_cell_angle_beta 90.00
_cell_angle_gamma 120.00
_symmetry_space_group_name_H-M 'P 1'
_symmetry_Int_Tables_number 1
_symmetry_space_group_name_Hall 'P 1'
loop_
_atom_site_label
_atom_site_fract_x
_atom_site_fract_y
_atom_site_fract_z
Rb1 0.333 0.667 0.666
Rb2 0.000 0.000 0.000
Rb3 0.667 0.333 0.334
Tb1 0.000 0.000 0.500
Ta1 0.333 0.667 0.167
Ta2 0.667 0.333 0.833
O1 0.822 0.178 0.687
O2 0.822 0.644 0.687
O3 0.356 0.178 0.687
O4 0.644 0.822 0.313
O5 0.178 0.356 0.313
O6 0.178 0.822 0.313
O7 0.500 0.000 0.000
O8 0.000 0.500 0.000
O9 0.500 0.500 0.000

---

What is the E in the first record?
-108.4 eV per cell